# Ta2AlCo2, optimized geometry, DFT PBE-GGA
# formation energy: -0.300 eV per atom
# V: 14.5 Å³/atom
# DOS(E_F): 6.36 states/eV/cell
data_Ta2AlCo2
_chemical_formula_sum 'Ta4 Al2 Co4'
_cell_length_a 6.8451
_cell_length_b 6.8451
_cell_length_c 3.1035
_cell_angle_alpha 90.00
_cell_angle_beta 90.00
_cell_angle_gamma 90.00
_symmetry_space_group_name_H-M 'P 4/m b m'
_symmetry_Int_Tables_number 127
_symmetry_space_group_name_Hall '-P 4 2ab'
loop_
_atom_site_label
_atom_site_fract_x
_atom_site_fract_y
_atom_site_fract_z
Ta1 0.1710 0.3290 0.0000
Al1 0.0000 0.0000 0.5000
Co1 0.1291 0.6291 0.5000

---

# AlAgF, optimized geometry, DFT PBE-GGA
# raw formation energy: -1.1130 eV per atom
# V: 18.1 Å³/atom
# DOS(E_F): 3.28 states/eV/cell
data_AlAgF
_chemical_formula_sum 'Al4 Ag4 F4'
_cell_length_a 13.9013
_cell_length_b 2.8647
_cell_length_c 5.4675
_cell_angle_alpha 90.00
_cell_angle_beta 90.00
_cell_angle_gamma 90.00
_symmetry_space_group_name_H-M 'A m m 2'
_symmetry_Int_Tables_number 38
_symmetry_space_group_name_Hall 'A 2 -2'
loop_
_atom_site_label
_atom_site_fract_x
_atom_site_fract_y
_atom_site_fract_z
Al1 0.1492 0.0000 0.0000
Ag1 0.0000 0.0000 0.3050
Ag2 0.5000 0.0000 0.2502
F1 0.2391 0.0000 0.5395

---

# Ba2NaHfTi, optimized geometry, DFT PBE-GGA
# formation energy: 1.441 eV per atom
# V: 39.0 Å³/atom
# DOS(E_F): 7.87 states/eV/cell
data_Ba2NaHfTi
_chemical_formula_sum 'Ba2 Na1 Hf1 Ti1'
_cell_length_a 5.8989
_cell_length_b 5.8989
_cell_length_c 5.6010
_cell_angle_alpha 90.00
_cell_angle_beta 90.00
_cell_angle_gamma 90.00
_symmetry_space_group_name_H-M 'P 4/m m m'
_symmetry_Int_Tables_number 123
_symmetry_space_group_name_Hall '-P 4 2'
loop_
_atom_site_label
_atom_site_fract_x
_atom_site_fract_y
_atom_site_fract_z
Ba1 0.0000 0.5000 0.0000
Na1 0.0000 0.0000 0.5000
Hf1 0.5000 0.5000 0.5000
Ti1 0.0000 0.0000 0.0000

---

# Zn2FeTe, optimized geometry, DFT PBE-GGA
# raw formation energy: 0.3567 eV per atom
# V: 18.9 Å³/atom
# DOS(E_F): 8.06 states/eV/cell
data_Zn2FeTe
_chemical_formula_sum 'Zn6 Fe3 Te3'
_cell_length_a 3.0272
_cell_length_b 3.0272
_cell_length_c 28.5892
_cell_angle_alpha 90.00
_cell_angle_beta 90.00
_cell_angle_gamma 120.00
_symmetry_space_group_name_H-M 'R -3 m'
_symmetry_Int_Tables_number 166
_symmetry_space_group_name_Hall '-R 3 2"'
loop_
_atom_site_label
_atom_site_fract_x
_atom_site_fract_y
_atom_site_fract_z
Zn1 0.0000 0.0000 0.2320
Fe1 0.0000 0.0000 0.5000
Te1 0.0000 0.0000 0.0000

---

# ReRh, optimized geometry, DFT PBE-GGA
# formation energy: 0.278 eV per atom
# V: 15.8 Å³/atom
# DOS(E_F): 11.20 states/eV/cell
data_ReRh
_chemical_formula_sum 'Re6 Rh6'
_cell_length_a 8.9776
_cell_length_b 8.9776
_cell_length_c 2.7142
_cell_angle_alpha 90.00
_cell_angle_beta 90.00
_cell_angle_gamma 120.00
_symmetry_space_group_name_H-M 'P 63/m'
_symmetry_Int_Tables_number 176
_symmetry_space_group_name_Hall '-P 6c'
loop_
_atom_site_label
_atom_site_fract_x
_atom_site_fract_y
_atom_site_fract_z
Re1 0.1437 0.6192 0.2500
Rh1 0.0495 0.2860 0.2500

---

# Ac6InRu3, optimized geometry, DFT PBE-GGA
# formation energy: -0.168 eV per atom
# V: 33.5 Å³/atom
# DOS(E_F): 13.72 states/eV/cell
data_Ac6InRu3
_chemical_formula_sum 'Ac12 In2 Ru6'
_cell_length_a 12.6358
_cell_length_b 4.3328
_cell_length_c 12.9215
_cell_angle_alpha 90.00
_cell_angle_beta 108.51
_cell_angle_gamma 90.00
_symmetry_space_group_name_H-M 'P 1 21/m 1'
_symmetry_Int_Tables_number 11
_symmetry_space_group_name_Hall '-P 2yb'
loop_
_atom_site_label
_atom_site_fract_x
_atom_site_fract_y
_atom_site_fract_z
Ac1 0.0281 0.2500 0.3884
Ac2 0.1132 0.2500 0.9492
Ac3 0.2015 0.7500 0.2551
Ac4 0.2842 0.7500 0.7612
Ac5 0.3510 0.2500 0.5295
Ac6 0.4253 0.7500 0.0828
In1 0.4450 0.2500 0.3005
Ru1 0.0424 0.2500 0.1676
Ru2 0.1850 0.7500 0.5042
Ru3 0.3371 0.2500 0.9133

---

Question: DOS(E_F) of number 1 (Ta2AlCo2)?
Answer: 6.36 states/eV/cell

---

What did the fourth record say?
# Zn2FeTe, optimized geometry, DFT PBE-GGA
# raw formation energy: 0.3567 eV per atom
# V: 18.9 Å³/atom
# DOS(E_F): 8.06 states/eV/cell
data_Zn2FeTe
_chemical_formula_sum 'Zn6 Fe3 Te3'
_cell_length_a 3.0272
_cell_length_b 3.0272
_cell_length_c 28.5892
_cell_angle_alpha 90.00
_cell_angle_beta 90.00
_cell_angle_gamma 120.00
_symmetry_space_group_name_H-M 'R -3 m'
_symmetry_Int_Tables_number 166
_symmetry_space_group_name_Hall '-R 3 2"'
loop_
_atom_site_label
_atom_site_fract_x
_atom_site_fract_y
_atom_site_fract_z
Zn1 0.0000 0.0000 0.2320
Fe1 0.0000 0.0000 0.5000
Te1 0.0000 0.0000 0.0000